La3Cd4Hg2 | GGA-PBE | optimized geometry

Computed properties:
Its total energy is -22.8 eV for the cell shown. As for the energy relative to the elements: -0.422 eV/atom. Its crystal system is monoclinic.

a b c (Å): 6.2452 6.2452 9.5211
angles (deg): 116.40 116.40 48.41
Element x y z (fractional)
La 0.0000 0.0000 0.0000
La 0.3306 0.3306 0.3358
La 0.6694 0.6694 0.6642
Cd 0.0478 0.0478 0.3830
Cd 0.2731 0.2731 0.9423
Cd 0.7269 0.7269 0.0577
Cd 0.9522 0.9522 0.6170
Hg 0.3909 0.3909 0.7246
Hg 0.6091 0.6091 0.2754